Crystalline Li2RuCl at its relaxed geometry. Source: Alexandria via LeMat-Bulk, functional PBE-GGA.

Cell: 4.833 4.833 4.833 Å, 134.60 134.60 66.16°
Atoms (fractional coordinates):
Li 0.250 0.750 0.500
Li 0.750 0.250 0.500
Ru 0.000 0.000 0.000
Cl 0.500 0.500 0.000

Values from the calculation:
Crystal system: tetragonal
Fermi-level density of states, states/eV per atom: 0.532
Distance to the lowest polymorph of the same formula, meV/atom: 574.3

---

Crystalline Li2RuCl at its relaxed geometry. Source: Alexandria via LeMat-Bulk, functional PBE-GGA.

Cell: 5.223 5.223 5.223 Å, 140.35 140.35 57.32°
Atoms (fractional coordinates):
Li 0.000 0.000 0.000
Li 0.750 0.250 0.500
Ru 0.250 0.750 0.500
Cl 0.500 0.500 0.000

Values from the calculation:
Crystal system: tetragonal
Fermi-level density of states, states/eV per atom: 0.858
Distance to the lowest polymorph of the same formula, meV/atom: 445.1

---

Crystalline Li2RuCl at its relaxed geometry. Source: Alexandria via LeMat-Bulk, functional PBE-GGA.

Cell: 6.033 6.033 3.974 Å, 109.19 109.19 27.48°
Atoms (fractional coordinates):
Li 0.000 0.000 0.000
Li 0.171 0.171 0.670
Ru 0.409 0.409 0.408
Cl 0.723 0.723 0.222

Values from the calculation:
Crystal system: monoclinic
Fermi-level density of states, states/eV per atom: 0.390
Distance to the lowest polymorph of the same formula, meV/atom: 311.8

---

Crystalline Li2RuCl at its relaxed geometry. Source: Alexandria via LeMat-Bulk, functional PBE-GGA.

Cell: 4.389 2.912 4.742 Å, 90.00 109.89 90.00°
Atoms (fractional coordinates):
Li 0.000 0.000 0.000
Li 0.000 0.500 0.500
Ru 0.500 0.000 0.500
Cl 0.500 0.500 0.000

Values from the calculation:
Crystal system: monoclinic
Fermi-level density of states, states/eV per atom: 0.532
Distance to the lowest polymorph of the same formula, meV/atom: 420.0

---

Crystalline LiRuCl at its relaxed geometry. Source: Alexandria via LeMat-Bulk, functional PBE-GGA.

Cell: 4.102 4.102 3.036 Å, 90.00 90.00 120.00°
Atoms (fractional coordinates):
Li 0.000 0.000 0.000
Ru 0.667 0.333 0.500
Cl 0.333 0.667 0.500

Values from the calculation:
Crystal system: hexagonal
Fermi-level density of states, states/eV per atom: 1.032
Distance to the lowest polymorph of the same formula, meV/atom: 106.3

---

Crystalline Li2RuCl at its relaxed geometry. Source: Alexandria via LeMat-Bulk, functional PBE-GGA.

Cell: 2.878 2.878 7.901 Å, 90.00 90.00 114.53°
Atoms (fractional coordinates):
Li 0.000 0.000 0.215
Li 0.000 0.000 0.785
Ru 0.500 0.500 0.500
Cl 0.500 0.500 0.000

Values from the calculation:
Crystal system: orthorhombic
Fermi-level density of states, states/eV per atom: 0.715
Distance to the lowest polymorph of the same formula, meV/atom: 49.0

---

Crystalline Li2RuCl at its relaxed geometry. Source: Alexandria via LeMat-Bulk, functional PBE-GGA.

Cell: 5.078 5.078 4.605 Å, 116.75 116.75 32.92°
Atoms (fractional coordinates):
Li 0.217 0.217 0.217
Li 0.783 0.783 0.783
Ru 0.000 0.000 0.500
Cl 0.500 0.500 0.000

Values from the calculation:
Crystal system: monoclinic
Fermi-level density of states, states/eV per atom: 0.435
Distance to the lowest polymorph of the same formula, meV/atom: 385.9

---

Crystalline Li2RuCl8 at its relaxed geometry. Source: Alexandria via LeMat-Bulk, functional PBE-GGA.

Cell: 7.513 7.513 6.430 Å, 99.51 99.51 59.23°
Atoms (fractional coordinates):
Li 0.165 0.165 0.144
Li 0.835 0.835 0.856
Ru 0.000 0.000 0.500
Cl 0.153 0.711 0.690
Cl 0.158 0.158 0.753
Cl 0.289 0.847 0.310
Cl 0.332 0.332 0.083
Cl 0.668 0.668 0.917
Cl 0.711 0.153 0.690
Cl 0.842 0.842 0.247
Cl 0.847 0.289 0.310

Values from the calculation:
Crystal system: monoclinic
Fermi-level density of states, states/eV per atom: 0.191
DFT total energy, eV per atom: -3.248

---

Crystalline Li2RuCl at its relaxed geometry. Source: Alexandria via LeMat-Bulk, functional PBE-GGA.

Cell: 2.850 2.850 7.337 Å, 90.00 90.00 90.00°
Atoms (fractional coordinates):
Li 0.000 0.000 0.209
Li 0.000 0.000 0.791
Ru 0.500 0.500 0.500
Cl 0.500 0.500 0.000

Values from the calculation:
Crystal system: tetragonal
Fermi-level density of states, states/eV per atom: 0.520
Distance to the lowest polymorph of the same formula, meV/atom: 68.1

---

Crystalline LiRuCl at its relaxed geometry. Source: Alexandria via LeMat-Bulk, functional PBE-GGA.

Cell: 4.170 4.170 4.170 Å, 60.00 60.00 60.00°
Atoms (fractional coordinates):
Li 0.000 0.000 0.000
Ru 0.750 0.750 0.750
Cl 0.500 0.500 0.500

Values from the calculation:
Crystal system: cubic
Fermi-level density of states, states/eV per atom: 0.483
Distance to the lowest polymorph of the same formula, meV/atom: 490.6

---

Crystalline Li2RuCl at its relaxed geometry. Source: Alexandria via LeMat-Bulk, functional PBE-GGA.

Cell: 2.960 4.477 4.957 Å, 90.00 106.46 90.00°
Atoms (fractional coordinates):
Li 0.000 0.000 0.000
Li 0.339 0.500 0.705
Ru 0.618 0.500 0.239
Cl 0.687 0.000 0.386

Values from the calculation:
Crystal system: monoclinic
Fermi-level density of states, states/eV per atom: 0.660
Distance to the lowest polymorph of the same formula, meV/atom: 292.5

---

Crystalline Li2RuCl at its relaxed geometry. Source: Alexandria via LeMat-Bulk, functional PBE-GGA.

Cell: 5.494 5.494 5.494 Å, 101.49 101.49 126.97°
Atoms (fractional coordinates):
Li 0.081 0.625 0.956
Li 0.375 0.331 0.456
Li 0.669 0.125 0.044
Li 0.875 0.919 0.544
Ru 0.250 0.750 0.500
Ru 0.500 0.500 0.000
Cl 0.000 0.000 0.000
Cl 0.750 0.250 0.500

Values from the calculation:
Crystal system: tetragonal
Fermi-level density of states, states/eV per atom: 0.547
Distance to the lowest polymorph of the same formula, meV/atom: 398.8

---

Crystalline Li2RuCl at its relaxed geometry. Source: Alexandria via LeMat-Bulk, functional PBE-GGA.

Cell: 2.882 2.882 8.067 Å, 90.00 90.00 90.00°
Atoms (fractional coordinates):
Li 0.000 0.000 0.000
Li 0.500 0.500 0.422
Ru 0.000 0.000 0.660
Cl 0.500 0.500 0.138

Values from the calculation:
Crystal system: tetragonal
Fermi-level density of states, states/eV per atom: 0.782
Distance to the lowest polymorph of the same formula, meV/atom: 153.6

---

Crystalline LiRuCl at its relaxed geometry. Source: Alexandria via LeMat-Bulk, functional PBE-GGA.

Cell: 3.035 3.035 5.956 Å, 90.00 90.00 120.00°
Atoms (fractional coordinates):
Li 0.000 0.000 0.000
Ru 0.667 0.333 0.380
Cl 0.333 0.667 0.724

Values from the calculation:
Crystal system: trigonal
Fermi-level density of states, states/eV per atom: 0.913
Distance to the lowest polymorph of the same formula, meV/atom: 0.0

---

Crystalline LiRuCl at its relaxed geometry. Source: Alexandria via LeMat-Bulk, functional PBE-GGA.

Cell: 4.126 4.126 4.126 Å, 60.00 60.00 60.00°
Atoms (fractional coordinates):
Li 0.000 0.000 0.000
Ru 0.500 0.500 0.500
Cl 0.250 0.250 0.250

Values from the calculation:
Crystal system: cubic
Fermi-level density of states, states/eV per atom: 0.230
Distance to the lowest polymorph of the same formula, meV/atom: 282.4

---

Crystalline Li3RuCl8 at its relaxed geometry. Source: Alexandria via LeMat-Bulk, functional PBE-GGA.

Cell: 6.343 6.343 7.477 Å, 90.00 90.00 107.36°
Atoms (fractional coordinates):
Li 0.000 0.000 0.000
Li 0.000 0.500 0.810
Li 0.500 0.000 0.190
Ru 0.000 0.000 0.500
Cl 0.216 0.226 0.721
Cl 0.226 0.216 0.279
Cl 0.226 0.774 0.500
Cl 0.235 0.765 0.000
Cl 0.765 0.235 0.000
Cl 0.774 0.226 0.500
Cl 0.774 0.784 0.279
Cl 0.784 0.774 0.721

Values from the calculation:
Crystal system: orthorhombic
Fermi-level density of states, states/eV per atom: 0.229
DFT total energy, eV per atom: -3.545

---

Crystalline Li2RuCl at its relaxed geometry. Source: Alexandria via LeMat-Bulk, functional PBE-GGA.

Cell: 3.091 3.091 7.519 Å, 90.00 90.00 90.00°
Atoms (fractional coordinates):
Li 0.000 0.000 0.000
Li 0.500 0.500 0.239
Ru 0.000 0.000 0.445
Cl 0.500 0.500 0.916

Values from the calculation:
Crystal system: tetragonal
Fermi-level density of states, states/eV per atom: 0.537
Distance to the lowest polymorph of the same formula, meV/atom: 251.7

---

Crystalline LiRuSCl2 at its relaxed geometry. Source: Alexandria via LeMat-Bulk, functional PBE-GGA.

Cell: 4.395 4.395 4.941 Å, 90.00 90.00 90.00°
Atoms (fractional coordinates):
Li 0.000 0.000 0.000
Ru 0.500 0.500 0.500
S 0.000 0.000 0.500
Cl 0.000 0.500 0.000
Cl 0.500 0.000 0.000

Values from the calculation:
Crystal system: tetragonal
Fermi-level density of states, states/eV per atom: 1.142
Distance to the lowest polymorph of the same formula, meV/atom: 814.4

---

Crystalline LiRuS2Cl at its relaxed geometry. Source: Alexandria via LeMat-Bulk, functional PBE-GGA.

Cell: 4.455 4.455 4.484 Å, 90.00 90.00 90.00°
Atoms (fractional coordinates):
Li 0.000 0.000 0.000
Ru 0.500 0.500 0.500
S 0.000 0.500 0.000
S 0.500 0.000 0.000
Cl 0.000 0.000 0.500

Values from the calculation:
Crystal system: tetragonal
Fermi-level density of states, states/eV per atom: 1.389
Distance to the lowest polymorph of the same formula, meV/atom: 908.6

---

Crystalline LiRuS2Cl at its relaxed geometry. Source: Alexandria via LeMat-Bulk, functional PBE-GGA.

Cell: 4.529 4.529 5.307 Å, 90.00 90.00 90.00°
Atoms (fractional coordinates):
Li 0.000 0.000 0.000
Ru 0.500 0.500 0.500
S 0.000 0.500 0.500
S 0.500 0.000 0.500
Cl 0.500 0.500 0.000

Values from the calculation:
Crystal system: tetragonal
Fermi-level density of states, states/eV per atom: 0.893
Distance to the lowest polymorph of the same formula, meV/atom: 0.0